[1]
# MnTe2AsI, optimized geometry, DFT PBE-GGA
# **Density of states at the Fermi level**: 6.71 states/eV/cell
# **M_tot**: 0.000 μB/f.u.
# **Energy above the lowest structure with this stoichiometry**: 13.6 meV per atom
# **Theoretical density**: 6.46 g/cm³
data_MnTe2AsI
_chemical_formula_sum 'Mn1 Te2 As1 I1'
_space_group_name_H-M_alt 'P 4/m m m'
_space_group_IT_number 123
_space_group_name_Hall '-P 4 2'
_cell_length_a 4.945
_cell_length_b 4.945
_cell_length_c 5.381
_cell_angle_alpha 90.00
_cell_angle_beta 90.00
_cell_angle_gamma 90.00
loop_
_atom_site_label
_atom_site_type_symbol
_atom_site_fract_x
_atom_site_fract_y
_atom_site_fract_z
Mn1 Mn 0.000 0.000 0.000
Te1 Te 0.000 0.500 0.000
As1 As 0.500 0.500 0.500
I1 I 0.000 0.000 0.500

***

[2]
# MnTe2AsI, optimized geometry, DFT PBE-GGA
# **Density of states at the Fermi level**: 3.93 states/eV/cell
# **M_tot**: 5.152 μB/f.u.
# **Energy above the lowest structure with this stoichiometry**: 0.0 meV per atom
# **Theoretical density**: 5.07 g/cm³
data_MnTe2AsI
_chemical_formula_sum 'Mn1 Te2 As1 I1'
_space_group_name_H-M_alt 'P 4/m m m'
_space_group_IT_number 123
_space_group_name_Hall '-P 4 2'
_cell_length_a 5.526
_cell_length_b 5.526
_cell_length_c 5.491
_cell_angle_alpha 90.00
_cell_angle_beta 90.00
_cell_angle_gamma 90.00
loop_
_atom_site_label
_atom_site_type_symbol
_atom_site_fract_x
_atom_site_fract_y
_atom_site_fract_z
Mn1 Mn 0.000 0.000 0.000
Te1 Te 0.000 0.500 0.500
As1 As 0.500 0.500 0.500
I1 I 0.500 0.500 0.000

***

[3]
# MnTeAsI2, optimized geometry, DFT PBE-GGA
# **Density of states at the Fermi level**: 2.13 states/eV/cell
# **M_tot**: 5.243 μB/f.u.
# **Energy above the lowest structure with this stoichiometry**: 0.0 meV per atom
# **Theoretical density**: 4.80 g/cm³
data_MnTeAsI2
_chemical_formula_sum 'Mn1 Te1 As1 I2'
_space_group_name_H-M_alt 'P 4/m m m'
_space_group_IT_number 123
_space_group_name_Hall '-P 4 2'
_cell_length_a 5.559
_cell_length_b 5.559
_cell_length_c 5.727
_cell_angle_alpha 90.00
_cell_angle_beta 90.00
_cell_angle_gamma 90.00
loop_
_atom_site_label
_atom_site_type_symbol
_atom_site_fract_x
_atom_site_fract_y
_atom_site_fract_z
Mn1 Mn 0.000 0.000 0.000
Te1 Te 0.500 0.500 0.000
As1 As 0.500 0.500 0.500
I1 I 0.000 0.500 0.500

***

[4]
# MnTlAs2I, optimized geometry, DFT PBE-GGA
# **Density of states at the Fermi level**: 4.97 states/eV/cell
# **M_tot**: 3.968 μB/f.u.
# **Uncorrected energy**: -3.311 eV/atom
# **Theoretical density**: 5.70 g/cm³
data_MnTlAs2I
_chemical_formula_sum 'Mn1 Tl1 As2 I1'
_space_group_name_H-M_alt 'P 4/m m m'
_space_group_IT_number 123
_space_group_name_Hall '-P 4 2'
_cell_length_a 5.191
_cell_length_b 5.191
_cell_length_c 5.793
_cell_angle_alpha 90.00
_cell_angle_beta 90.00
_cell_angle_gamma 90.00
loop_
_atom_site_label
_atom_site_type_symbol
_atom_site_fract_x
_atom_site_fract_y
_atom_site_fract_z
Mn1 Mn 0.000 0.000 0.000
Tl1 Tl 0.500 0.500 0.500
As1 As 0.000 0.500 0.500
I1 I 0.500 0.500 0.000

***

[5]
# MnTlAsI6, optimized geometry, DFT PBE-GGA
# **M_tot**: 5.000 μB/f.u.
# **Uncorrected energy**: -3.185 eV/atom
# **Theoretical density**: 4.86 g/cm³
data_MnTlAsI6
_chemical_formula_sum 'Mn1 Tl1 As1 I6'
_space_group_name_H-M_alt 'P 3 1 2'
_space_group_IT_number 149
_space_group_name_Hall 'P 3 2'
_cell_length_a 7.4850
_cell_length_b 7.4850
_cell_length_c 7.7216
_cell_angle_alpha 90.00
_cell_angle_beta 90.00
_cell_angle_gamma 120.00
loop_
_atom_site_label
_atom_site_type_symbol
_atom_site_fract_x
_atom_site_fract_y
_atom_site_fract_z
Mn1 Mn 0.0000 0.0000 0.0000
Tl1 Tl 0.6667 0.3333 0.5000
As1 As 0.3333 0.6667 0.0000
I1 I 0.0356 0.3332 0.2152

***

[6]
# ZrMn2AsI, optimized geometry, DFT PBE-GGA
# **Density of states at the Fermi level**: 4.18 states/eV/cell
# **M_tot**: 4.978 μB/f.u.
# **Uncorrected energy**: -5.864 eV/atom
# **Theoretical density**: 5.50 g/cm³
data_ZrMn2AsI
_chemical_formula_sum 'Zr1 Mn2 As1 I1'
_space_group_name_H-M_alt 'P 4/m m m'
_space_group_IT_number 123
_space_group_name_Hall '-P 4 2'
_cell_length_a 4.569
_cell_length_b 4.569
_cell_length_c 5.826
_cell_angle_alpha 90.00
_cell_angle_beta 90.00
_cell_angle_gamma 90.00
loop_
_atom_site_label
_atom_site_type_symbol
_atom_site_fract_x
_atom_site_fract_y
_atom_site_fract_z
Zr1 Zr 0.000 0.000 0.000
Mn1 Mn 0.000 0.500 0.500
As1 As 0.500 0.500 0.500
I1 I 0.500 0.500 0.000

***

Q: Number 6 is which compound?
A: ZrMn2AsI